{
  "formula": "YErScTl",
  "functional": "GGA-PBE",
  "state": "relaxed",
  "cell": [[-1.644, 5.093, 0.075], [-5.076, 1.192, -1.211], [-3.342, 1.678, 3.830]],
  "species": ["Sc", "Tl", "Y", "Er"],
  "frac_coords": [[0.000, 0.000, 0.000], [0.500, 0.500, 0.500], [0.750, 0.750, 0.750], [0.250, 0.250, 0.250]],
  "dos_ef_per_ev_fu": 5.7,
  "space_group": "F-43m (216)",
  "total_energy_ev_per_atom": -4.990,
  "formation_enthalpy_0k_ev_per_atom": -0.059,
  "e_above_lowest_polymorph_ev_per_fu": 0.47
}